Record 1
Material: Hf2Mn3W
Method: DFT, PBE
State: relaxed

## Properties
- E_form (eV per atom) = -0.23
- DOS at the Fermi energy (states/eV per atom) = 0.866

abc: 5.013 5.013 5.013
angles: 61.58 61.58 61.58
Fractional coordinates of all 6 atoms:
Hf: 0.125 0.125 0.125
Hf: 0.875 0.875 0.875
Mn: 0.000 0.500 0.500
Mn: 0.500 0.000 0.500
Mn: 0.500 0.500 0.000
W: 0.500 0.500 0.500

---

Record 2
Material: HfMnW2
Method: DFT, PBE
State: relaxed

## Properties
- E_form (eV per atom) = 0.23
- DOS at the Fermi energy (states/eV per atom) = 0.499

abc: 4.462 4.462 4.462
angles: 60.00 60.00 60.00
Fractional coordinates of all 4 atoms:
Hf: 0.000 0.000 0.000
Mn: 0.500 0.500 0.500
W: 0.250 0.250 0.250
W: 0.750 0.750 0.750

---

Record 3
Material: Hf2MnW
Method: DFT, PBE
State: relaxed

## Properties
- E_form (eV per atom) = 0.04
- DOS at the Fermi energy (states/eV per atom) = 1.532

abc: 3.241 3.241 6.621
angles: 90.00 90.00 90.00
Fractional coordinates of all 4 atoms:
Hf: 0.000 0.000 0.239
Hf: 0.000 0.000 0.761
Mn: 0.500 0.500 0.000
W: 0.500 0.500 0.500

---

Record 4
Material: Hf2MnW
Method: DFT, PBE
State: relaxed

## Properties
- E_form (eV per atom) = 0.67
- DOS at the Fermi energy (states/eV per atom) = 1.210

abc: 5.837 5.837 5.837
angles: 103.19 103.19 122.93
Fractional coordinates of all 8 atoms:
Hf: 0.099 0.625 0.974
Hf: 0.375 0.349 0.474
Hf: 0.651 0.125 0.026
Hf: 0.875 0.901 0.526
Mn: 0.000 0.000 0.000
Mn: 0.750 0.250 0.500
W: 0.250 0.750 0.500
W: 0.500 0.500 0.000